Crystalline LiSb4Se7 at its relaxed geometry. Source: the Alexandria database, functional PBE.

Properties
Fermi-level density of states: 4.391 states/eV/cell
Total DFT energy (no corrections): -47.1 eV/cell

Lattice parameters (Å, degrees): 4.0103 4.0103 23.2382 90.00 90.00 120.00
Space group P-3m1 (No. 164)
One atom of each set of equivalent atoms:
Li 0.0000 0.0000 0.0000
Sb 0.3333 0.6667 0.1436
Sb 0.3333 0.6667 0.4176
Se 0.0000 0.0000 0.2127
Se 0.0000 0.0000 0.5000
Se 0.3333 0.6667 0.6507
Se 0.3333 0.6667 0.9331